Compound: Sc4CdCuN2
Source: OQMD via LeMat-Bulk
Functional: PBE-GGA
Structure: optimized geometry

Lattice parameters (Å, degrees): 3.2129 3.2129 14.2956 90.00 90.00 120.00
Sites, in units of the cell vectors:
Sc (0.0000, 0.0000, 0.1464)
Sc (0.0000, 0.0000, 0.8536)
Sc (0.3333, 0.6667, 0.3203)
Sc (0.3333, 0.6667, 0.6797)
Cd (0.0000, 0.0000, 0.5000)
Cu (0.3333, 0.6667, 0.0000)
N (0.6667, 0.3333, 0.2388)
N (0.6667, 0.3333, 0.7612)

Compound: LiCuSbPt
Source: OQMD via LeMat-Bulk
Functional: PBE-GGA
Structure: optimized geometry

Lattice parameters (Å, degrees): 4.4666 4.4666 4.4666 60.00 60.00 60.00
Sites, in units of the cell vectors:
Li (0.0000, 0.0000, 0.0000)
Cu (0.7500, 0.7500, 0.7500)
Sb (0.5000, 0.5000, 0.5000)
Pt (0.2500, 0.2500, 0.2500)

Compound: Mg3Zn2Mo2
Source: OQMD via LeMat-Bulk
Functional: PBE-GGA
Structure: optimized geometry

Lattice parameters (Å, degrees): 7.8814 7.8814 7.8814 32.75 32.75 32.75
Sites, in units of the cell vectors:
Mg (0.0000, 0.0000, 0.0000)
Mg (0.2497, 0.2497, 0.2497)
Mg (0.5088, 0.5088, 0.5088)
Zn (0.1208, 0.1208, 0.1208)
Zn (0.6344, 0.6344, 0.6344)
Mo (0.3854, 0.3854, 0.3854)
Mo (0.7504, 0.7504, 0.7504)

Compound: RbTbFeTe3
Source: OQMD via LeMat-Bulk
Functional: PBE-GGA
Structure: optimized geometry

Lattice parameters (Å, degrees): 17.0800 4.3062 11.6930 90.00 90.00 90.00
Sites, in units of the cell vectors:
Rb (0.2351, 0.2500, 0.0230)
Rb (0.2649, 0.7500, 0.5230)
Rb (0.7351, 0.2500, 0.4770)
Rb (0.7649, 0.7500, 0.9770)
Tb (0.0177, 0.2500, 0.3437)
Tb (0.4823, 0.7500, 0.8437)
Tb (0.5177, 0.2500, 0.1563)
Tb (0.9823, 0.7500, 0.6563)
Fe (0.0083, 0.7500, 0.0750)
Fe (0.4917, 0.2500, 0.5750)
Fe (0.5083, 0.7500, 0.4250)
Fe (0.9917, 0.2500, 0.9250)
Te (0.0841, 0.7500, 0.8807)
Te (0.0987, 0.2500, 0.5758)
Te (0.1221, 0.7500, 0.2306)
Te (0.3779, 0.2500, 0.7306)
Te (0.4013, 0.7500, 0.0758)
Te (0.4159, 0.2500, 0.3807)
Te (0.5841, 0.7500, 0.6193)
Te (0.5987, 0.2500, 0.9242)
Te (0.6221, 0.7500, 0.2694)
Te (0.8779, 0.2500, 0.7694)
Te (0.9013, 0.7500, 0.4242)
Te (0.9159, 0.2500, 0.1193)

Compound: SmSiPO
Source: OQMD via LeMat-Bulk
Functional: PBE-GGA
Structure: optimized geometry

Lattice parameters (Å, degrees): 5.7473 5.7473 4.6307 90.00 90.00 90.00
Sites, in units of the cell vectors:
Sm (0.2500, 0.7500, 0.0000)
Sm (0.7500, 0.2500, 0.0000)
Si (0.2500, 0.2500, 0.4883)
Si (0.7500, 0.7500, 0.5117)
P (0.2500, 0.2500, 0.9881)
P (0.7500, 0.7500, 0.0119)
O (0.2500, 0.7500, 0.5000)
O (0.7500, 0.2500, 0.5000)

Compound: PaBePb
Source: OQMD via LeMat-Bulk
Functional: PBE-GGA
Structure: optimized geometry

Lattice parameters (Å, degrees): 4.8411 4.8411 4.8411 60.00 60.00 60.00
Sites, in units of the cell vectors:
Pa (0.0000, 0.0000, 0.0000)
Be (0.5000, 0.5000, 0.5000)
Pb (0.7500, 0.7500, 0.7500)

Compound: ScPaTl
Source: OQMD via LeMat-Bulk
Functional: PBE-GGA
Structure: optimized geometry

Lattice parameters (Å, degrees): 5.0981 5.0981 5.0981 60.00 60.00 60.00
Sites, in units of the cell vectors:
Sc (0.0000, 0.0000, 0.0000)
Pa (0.2500, 0.2500, 0.2500)
Tl (0.5000, 0.5000, 0.5000)

Compound: TbTm2In3IrAu2
Source: OQMD via LeMat-Bulk
Functional: PBE-GGA
Structure: optimized geometry

Lattice parameters (Å, degrees): 3.9098 7.7030 7.7030 120.14 90.00 90.00
Sites, in units of the cell vectors:
Tb (0.0000, 0.0000, 0.0000)
Tm (0.0000, 0.3975, 0.7920)
Tm (0.0000, 0.7920, 0.3975)
In (0.5000, 0.1412, 0.3975)
In (0.5000, 0.3975, 0.1412)
In (0.5000, 0.6546, 0.6546)
Ir (0.0000, 0.4002, 0.4002)
Au (0.5000, 0.0653, 0.7277)
Au (0.5000, 0.7277, 0.0653)

no.,spin magnetization (Bohr magnetons per cell),energy (eV per atom)
1,0.23,-6.81
2,0.00,-4.31
3,0.01,-3.97
4,15.01,-4.77
5,0.01,-6.09
6,1.34,-4.62
7,2.83,-5.13
8,0.00,-4.86